No. 1
Fe2CuHg: relaxed, PBE-GGA.

Properties
Theoretical density   10.8 g/cm³
Energy   -20.0 eV per formula unit
Formation energy from the elements   131 kJ/mol of formula units

a b c (Å): 4.569 4.569 4.760
angles (deg): 76.71 76.71 36.91
Site moments in Bohr magnetons follow the coordinates.
Fractional coordinates of all 4 atoms:
Hg (0.498, 0.498, 0.495)  -0.04
Fe (0.734, 0.734, 0.789)  2.66
Fe (0.008, 0.008, 0.991)  2.58
Cu (0.260, 0.260, 0.225)  0.06

---

No. 2
Y5CdPd4: relaxed, PBE-GGA.

Properties
Theoretical density   7.2 g/cm³
Energy   -61.6 eV per formula unit
Formation energy from the elements   -735 kJ/mol of formula units

a b c (Å): 3.536 3.536 18.171
angles (deg): 90.00 90.00 90.00
Fractional coordinates of all 10 atoms:
Y (0.500, 0.500, 0.693)
Y (0.500, 0.500, 0.117)
Y (0.500, 0.500, 0.500)
Y (0.500, 0.500, 0.307)
Y (0.500, 0.500, 0.883)
Pd (0.000, 0.000, 0.404)
Pd (0.000, 0.000, 0.209)
Pd (0.000, 0.000, 0.596)
Pd (0.000, 0.000, 0.791)
Cd (0.000, 0.000, 0.000)

---

No. 3
LaDy5Ho4: relaxed, PBE-GGA.

Properties
Theoretical density   8.3 g/cm³
Energy   -45.5 eV per formula unit
Formation energy from the elements   68 kJ/mol of formula units

a b c (Å): 3.522 6.846 14.096
angles (deg): 96.81 84.66 107.23
Fractional coordinates of all 10 atoms:
Ho (0.770, 0.800, 0.215)
Ho (0.997, 0.327, 0.198)
Ho (0.230, 0.200, 0.785)
Ho (0.003, 0.673, 0.802)
Dy (0.903, 0.388, 0.596)
Dy (0.663, 0.863, 0.602)
Dy (0.500, 0.500, 0.000)
Dy (0.097, 0.612, 0.404)
Dy (0.337, 0.137, 0.398)
La (0.500, 0.000, 0.000)

---

No. 4
Sr2GaAu6: relaxed, PBE-GGA.

Properties
Theoretical density   11.4 g/cm³
Energy   -31.0 eV per formula unit
Formation energy from the elements   -473 kJ/mol of formula units

a b c (Å): 6.647 6.647 6.646
angles (deg): 59.97 59.97 59.98
Fractional coordinates of all 9 atoms:
Au (0.223, 0.777, 0.223)
Au (0.777, 0.223, 0.777)
Au (0.223, 0.223, 0.777)
Au (0.223, 0.777, 0.777)
Au (0.777, 0.777, 0.223)
Au (0.777, 0.223, 0.223)
Ga (0.500, 0.500, 0.500)
Sr (0.250, 0.250, 0.250)
Sr (0.750, 0.750, 0.750)